Entry 1:
# KNiAs2

A relaxed KNiAs2 crystal (PBE-GGA, Alexandria).

Values from the calculation:
**Theoretical density**: 4.67 g/cm3
**E_form**: -0.10 eV/atom
**Size of the total moment**: 0.00 μB per formula unit
**Energy**: -4.14 eV per atom

POSCAR file:
```
KNiAs2
1.0
-2.1242 -5.5775 -0.0900
3.3765 -3.4381 -3.5225
-0.8563 3.2135 4.9568
As K Ni
2 1 1
direct
0.0613 0.0613 0.0000
0.4387 0.4387 0.0000
0.7500 0.2500 0.5000
0.2500 0.7500 0.5000
```


Entry 2:
# Nb2InGe

A relaxed Nb2InGe crystal (PBE-GGA, Alexandria).

Values from the calculation:
**Theoretical density**: 7.81 g/cm3
**E_form**: 0.04 eV/atom
**Size of the total moment**: 0.00 μB per formula unit
**Energy**: -6.83 eV per atom

POSCAR file:
```
Nb2InGe
1.0
3.4134 0.0000 0.0000
1.7067 2.9561 0.0000
1.7067 0.9854 7.8640
Nb In Ge
2 1 1
direct
0.0697 0.0697 0.7910
0.2639 0.2639 0.2083
0.4997 0.4997 0.5010
0.6668 0.6668 0.9997
```


Entry 3:
# NbP2PtCl

A relaxed NbP2PtCl crystal (PBE-GGA, Alexandria).

Values from the calculation:
**Theoretical density**: 6.30 g/cm3
**Size of the total moment**: 0.00 μB per formula unit
**Energy**: -4.90 eV per atom
**Formation energy without anion corrections**: 0.8595 eV/atom

POSCAR file:
```
NbP2PtCl
1.0
-4.1223 -1.9067 0.9584
0.5695 -2.9920 -3.5030
2.0882 -3.0391 2.9353
P Nb Pt Cl
2 1 1 1
direct
0.0000 0.5000 0.0000
0.5000 0.0000 0.0000
0.5000 0.5000 0.5000
0.0000 0.0000 0.0000
0.0000 0.0000 0.5000
```


Entry 4:
# ZnHg3S

A relaxed ZnHg3S crystal (PBE-GGA, Alexandria).

Values from the calculation:
**Theoretical density**: 7.25 g/cm3
**Size of the total moment**: 0.00 μB per formula unit
**Energy**: -0.89 eV per atom
**Formation energy without anion corrections**: 0.3750 eV/atom

POSCAR file:
```
ZnHg3S
1.0
-4.3366 -3.2390 0.4536
2.7926 -3.2750 3.3134
-1.7023 2.8786 4.2800
S Zn Hg
1 1 3
direct
0.0000 0.0000 0.0000
0.5000 0.5000 0.5000
0.0000 0.5000 0.0000
0.0000 0.0000 0.5000
0.5000 0.0000 0.0000
```